Entry 1:
Mg2Ga6Co after structural relaxation. Source: Alexandria, functional GGA-PBE.

The space group is Cmmm (No. 65) and the conventional cell measures 7.1086, 12.1167 and 4.0745 Å, with angles of 90.00, 90.00 and 90.00 degrees. The asymmetric unit holds Mg at (0.0000, 0.1684, 0.0000), Ga at (0.2000, 0.3468, 0.5000), Ga at (0.2006, 0.5000, 0.0000) and Co at (0.0000, 0.5000, 0.5000).

Its calculated volume is 19.497 Å³ per atom. The total energy comes out at -3.245 eV/atom. The formation energy is -83.6 meV per atom. The density of states at the Fermi level comes out at 8.53 states/eV per cell.

Entry 2:
MgGaCo2 after structural relaxation. Source: Alexandria, functional GGA-PBE.

The space group is I-42d (No. 122) and the conventional cell measures 6.7132, 6.7132 and 5.2027 Å, with angles of 90.00, 90.00 and 90.00 degrees. The asymmetric unit holds Mg at (0.0000, 0.0000, 0.0000), Ga at (0.0000, 0.0000, 0.5000) and Co at (0.2252, 0.2500, 0.6250).

Its calculated volume is 14.654 Å³ per atom. The total energy comes out at -4.364 eV/atom. The formation energy is 344.6 meV per atom. The density of states at the Fermi level comes out at 23.63 states/eV per cell.

Entry 3:
MgGa6Co after structural relaxation. Source: Alexandria, functional GGA-PBE.

The space group is Amm2 (No. 38) and the conventional cell measures 3.7564, 7.8117 and 9.2822 Å, with angles of 90.00, 90.00 and 90.00 degrees. The asymmetric unit holds Mg at (0.0000, 0.0000, 0.0000), Ga at (0.0000, 0.2396, 0.2475), Ga at (0.5000, 0.0000, 0.2336), Ga at (0.5000, 0.0000, 0.7706), Ga at (0.5000, 0.1886, 0.4893) and Co at (0.0000, 0.0000, 0.6000).

Its calculated volume is 17.024 Å³ per atom. The total energy comes out at -3.388 eV/atom. The formation energy is -30.1 meV per atom. The density of states at the Fermi level comes out at 5.63 states/eV per cell.

calculated volume of number 3 (MgGa6Co)?
17.024 Å³ per atom

Which value of calculated volume does entry 1 give?
19.497 Å³ per atom